Record 1
Below is a geometry-optimized Y4HoEr3S8 structure, with properties calculated at the GGA-PBE level.

Unit cell a=7.7829 b=7.7829 c=19.1154 alpha=90.00 beta=90.00 gamma=120.00
Space group R-3m (No. 166, hexagonal axes)
Asymmetric unit:
Y 0.0000 0.0000 0.0000 [3 per cell]
Y 0.0000 0.5000 0.0000 [9 per cell]
Ho 0.0000 0.0000 0.5000 [3 per cell]
Er 0.0000 0.5000 0.5000 [9 per cell]
S 0.0000 0.0000 0.2481 [6 per cell]
S 0.0009 0.5005 0.7516 [18 per cell]

Values from the calculation:
**ρ**: 6.354 g cm⁻³
**Electronic total energy**: -326.2 eV for the cell shown
**N(E_F)**: 27.81 states/eV/cell
**Formation energy from raw total energies**: -1.9739 eV/atom



Record 2
Below is a geometry-optimized ZrNbAu3 structure, with properties calculated at the GGA-PBE level.

Unit cell a=5.0100 b=5.0100 c=5.0100 alpha=90.00 beta=90.00 gamma=90.00
Space group Pm-3m (No. 221)
Asymmetric unit:
Zr 0.0000 0.0000 0.0000 [1 per cell]
Nb 0.5000 0.5000 0.5000 [1 per cell]
Au 0.0000 0.5000 0.5000 [3 per cell]

Values from the calculation:
**ρ**: 10.234 g cm⁻³
**Energy of formation from the pure elements**: 20.2 kcal/mol of atoms
**Relative energy among the computed polymorphs**: 0 meV/atom
**Electronic total energy**: -24.1 eV for the cell shown
**N(E_F)**: 6.66 states/eV/cell



Record 3
Below is a geometry-optimized NaSbP2Pb structure, with properties calculated at the GGA-PBE level.

Unit cell a=5.2376 b=5.2376 c=5.4200 alpha=90.00 beta=90.00 gamma=90.00
Space group P4/mmm (No. 123)
Asymmetric unit:
Na 0.0000 0.0000 0.0000 [1 per cell]
Sb 0.5000 0.5000 0.0000 [1 per cell]
P 0.0000 0.5000 0.5000 [2 per cell]
Pb 0.0000 0.0000 0.5000 [1 per cell]

Values from the calculation:
**ρ**: 4.623 g cm⁻³
**Electronic total energy**: -15.2 eV for the cell shown
**N(E_F)**: 3.73 states/eV/cell
**Formation energy from raw total energies**: 0.9495 eV/atom



Record 4
Below is a geometry-optimized TbSmDyAl structure, with properties calculated at the GGA-PBE level.

Unit cell a=7.6187 b=7.6187 c=7.6187 alpha=90.00 beta=90.00 gamma=90.00
Space group F-43m (No. 216)
Asymmetric unit:
Tb 0.0000 0.0000 0.0000 [4 per cell]
Sm 0.2500 0.2500 0.7500 [4 per cell]
Dy 0.2500 0.2500 0.2500 [4 per cell]
Al 0.0000 0.0000 0.5000 [4 per cell]

Values from the calculation:
**ρ**: 7.491 g cm⁻³
**Energy of formation from the pure elements**: -0.9 kcal/mol of atoms
**Relative energy among the computed polymorphs**: 147 meV/atom
**Electronic total energy**: -71.4 eV for the cell shown
**N(E_F)**: 30.11 states/eV/cell



Record 5
Below is a geometry-optimized Tm2ThTc structure, with properties calculated at the GGA-PBE level.

Unit cell a=3.4243 b=3.4243 c=8.8049 alpha=90.00 beta=90.00 gamma=90.00
Space group P4/mmm (No. 123)
Asymmetric unit:
Tm 0.0000 0.0000 0.1854 [2 per cell]
Th 0.5000 0.5000 0.5000 [1 per cell]
Tc 0.5000 0.5000 0.0000 [1 per cell]

Values from the calculation:
**ρ**: 10.742 g cm⁻³
**Energy of formation from the pure elements**: 0.5 kcal/mol of atoms
**Relative energy among the computed polymorphs**: 211 meV/atom
**Electronic total energy**: -26.6 eV for the cell shown
**N(E_F)**: 8.00 states/eV/cell



Record 6
Below is a geometry-optimized Cr2FePdN structure, with properties calculated at the GGA-PBE level.

Unit cell a=3.8759 b=3.8759 c=3.8370 alpha=90.00 beta=90.00 gamma=90.00
Space group P4/mmm (No. 123)
Asymmetric unit:
Cr 0.0000 0.5000 0.0000 [2 per cell]
Fe 0.0000 0.0000 0.5000 [1 per cell]
Pd 0.5000 0.5000 0.5000 [1 per cell]
N 0.0000 0.0000 0.0000 [1 per cell]

Values from the calculation:
**ρ**: 8.074 g cm⁻³
**Electronic total energy**: -42.1 eV for the cell shown
**N(E_F)**: 4.83 states/eV/cell
**Formation energy from raw total energies**: -0.1714 eV/atom



Record 7
Below is a geometry-optimized SmDySiS structure, with properties calculated at the GGA-PBE level.

Unit cell a=4.0601 b=4.0601 c=20.1758 alpha=90.00 beta=90.00 gamma=120.00
Space group R3m (No. 160, hexagonal axes)
Asymmetric unit:
Sm 0.0000 0.0000 0.0000 [3 per cell]
Dy 0.0000 0.0000 0.5004 [3 per cell]
Si 0.0000 0.0000 0.2485 [3 per cell]
S 0.0000 0.0000 0.7526 [3 per cell]

Values from the calculation:
**ρ**: 6.451 g cm⁻³
**Electronic total energy**: -73.0 eV for the cell shown
**N(E_F)**: 4.76 states/eV/cell
**Formation energy from raw total energies**: -1.3642 eV/atom



Record 8
Below is a geometry-optimized Y4ZnBr structure, with properties calculated at the GGA-PBE level.

Unit cell a=9.1033 b=9.1033 c=9.1033 alpha=90.00 beta=90.00 gamma=90.00
Space group F-43m (No. 216)
Asymmetric unit:
Y 0.1233 0.1233 0.1233 [16 per cell]
Zn 0.2500 0.2500 0.7500 [4 per cell]
Br 0.0000 0.0000 0.5000 [4 per cell]

Values from the calculation:
**ρ**: 4.411 g cm⁻³
**Electronic total energy**: -106.1 eV for the cell shown
**N(E_F)**: 32.54 states/eV/cell
**Formation energy from raw total energies**: 0.3802 eV/atom